Entry from Alexandria: Tl5In2Hg2 after structural relaxation (PBE).

Cell: 3.8680 3.8680 20.9118 Å, 90.00 90.00 120.00°
Last column: nearest neighbours and their distance in Å.
Positions (direct):
In1 0.0000 0.0000 0.6707  6 Tl 3.23-3.25
In2 0.0000 0.0000 0.3293  6 Tl 3.23-3.25
Tl1 0.6667 0.3333 0.7833  3 Hg 3.17, 3 In 3.25
Tl2 0.6667 0.3333 0.4412  3 In 3.23, 3 Tl 3.32
Tl3 0.0000 0.0000 0.0000  6 Hg 3.19
Tl4 0.3333 0.6667 0.5588  3 In 3.23, 3 Tl 3.32
Tl5 0.3333 0.6667 0.2167  3 Hg 3.17, 3 In 3.25
Hg1 0.3333 0.6667 0.8912  6 Tl 3.17-3.19
Hg2 0.6667 0.3333 0.1088  6 Tl 3.17-3.19

Summary:
crystal system	trigonal
DOS(E_F)	4.53	states/eV/f.u.
energy relative to the elements	0.04	eV per atom
relative energy among the computed polymorphs	19	meV/atom

---

Entry from Alexandria: TlIn6Hg8 after structural relaxation (PBE).

Cell: 4.0416 11.0267 11.0267 Å, 120.00 90.00 90.00°
Last column: nearest neighbours and their distance in Å.
Positions (direct):
Hg1 0.7987 0.2933 0.0592  3 In 3.05-3.21, 1 Tl 3.20, 2 Hg 3.38
Hg2 0.2013 0.7067 0.9408  3 In 3.05-3.21, 1 Tl 3.20, 2 Hg 3.38
Hg3 0.2013 0.0592 0.7659  3 In 3.05-3.21, 1 Tl 3.20, 2 Hg 3.38
Hg4 0.2243 0.6667 0.3333  6 In 3.07
Hg5 0.2013 0.2341 0.2933  3 In 3.05-3.21, 1 Tl 3.20, 2 Hg 3.38
Hg6 0.7987 0.9408 0.2341  3 In 3.05-3.21, 1 Tl 3.20, 2 Hg 3.38
Hg7 0.7987 0.7659 0.7067  3 In 3.05-3.21, 1 Tl 3.20, 2 Hg 3.38
Hg8 0.7757 0.3333 0.6667  6 In 3.07
Tl1 0.5000 0.0000 0.0000  6 Hg 3.20
In1 0.2748 0.3756 0.8939  5 Hg 3.05-3.21, 2 In 3.15-3.39
In2 0.2748 0.1061 0.4817  5 Hg 3.05-3.21, 2 In 3.15-3.39
In3 0.7252 0.6244 0.1061  5 Hg 3.05-3.21, 2 In 3.15-3.39
In4 0.7252 0.8939 0.5183  5 Hg 3.05-3.21, 2 In 3.15-3.39
In5 0.7252 0.4817 0.3756  5 Hg 3.05-3.21, 2 In 3.15-3.39
In6 0.2748 0.5183 0.6244  5 Hg 3.05-3.21, 2 In 3.15-3.39

Summary:
crystal system	trigonal
DOS(E_F)	5.51	states/eV/f.u.
energy relative to the elements	0.03	eV per atom
relative energy among the computed polymorphs	7	meV/atom

---

Entry from Alexandria: Tl4In5Hg6 after structural relaxation (PBE).

Cell: 4.9736 11.1277 16.2997 Å, 90.00 90.00 102.91°
Last column: nearest neighbours and their distance in Å.
Positions (direct):
In1 0.3236 0.6472 0.6301  4 Hg 3.04-3.12, 2 In 3.14-3.31
In2 0.1788 0.3576 0.6313  4 Hg 2.91-3.04, 1 In 3.14
In3 0.6633 0.3267 0.4570  5 Hg 3.06-3.29
In4 0.5240 0.0479 0.1298  5 Hg 2.89-3.22
In5 0.6764 0.3528 0.1301  4 Hg 3.04-3.12, 2 In 3.14-3.31
In6 0.6648 0.3295 0.8036  5 Hg 3.07-3.30
In7 0.8212 0.6424 0.1313  4 Hg 2.91-3.04, 1 In 3.14
In8 0.4760 0.9521 0.6298  5 Hg 2.89-3.22
In9 0.3352 0.6705 0.3036  5 Hg 3.07-3.30
In10 0.3367 0.6733 0.9570  5 Hg 3.06-3.29
Tl1 0.1548 0.3095 0.3062  6 Hg 3.14-3.32, 2 In 3.50
Tl2 0.9581 0.9161 0.9984  7 Hg 3.46-3.81, 5 In 3.58-3.68
Tl3 0.0423 0.0846 0.7622  7 Hg 3.44-3.81, 5 In 3.59-3.70
Tl4 0.0419 0.0839 0.4984  7 Hg 3.46-3.81, 5 In 3.58-3.68
Tl5 0.9577 0.9154 0.2622  7 Hg 3.44-3.81, 5 In 3.59-3.70
Tl6 0.8436 0.6873 0.4548  6 Hg 3.14-3.31, 2 In 3.50
Tl7 0.8452 0.6905 0.8062  6 Hg 3.14-3.32, 2 In 3.50
Tl8 0.1564 0.3127 0.9548  6 Hg 3.14-3.31, 2 In 3.50
Hg1 0.2469 0.4939 0.4685  5 In 3.04-3.30, 3 Tl 3.26-3.32
Hg2 0.7514 0.5029 0.2929  5 In 3.04-3.29, 3 Tl 3.26-3.31
Hg3 0.6095 0.2189 0.6305  5 In 2.89-3.07
Hg4 0.7531 0.5061 0.9685  5 In 3.04-3.30, 3 Tl 3.26-3.32
Hg5 0.2486 0.4971 0.7929  5 In 3.04-3.29, 3 Tl 3.26-3.31
Hg6 0.3906 0.7811 0.1305  5 In 2.89-3.07
Hg7 0.5589 0.1179 0.9378  1 Hg 3.15, 2 In 3.17-3.22, 4 Tl 3.28-3.46
Hg8 0.4425 0.8850 0.8223  1 Hg 3.15, 2 In 3.18-3.22, 4 Tl 3.27-3.44
Hg9 0.5575 0.1150 0.3223  1 Hg 3.15, 2 In 3.18-3.22, 4 Tl 3.27-3.44
Hg10 0.9039 0.8078 0.6301  4 In 2.94-3.04, 2 Tl 3.14
Hg11 0.4411 0.8821 0.4378  1 Hg 3.15, 2 In 3.17-3.22, 4 Tl 3.28-3.46
Hg12 0.0961 0.1922 0.1301  4 In 2.94-3.04, 2 Tl 3.14

Summary:
crystal system	orthorhombic
DOS(E_F)	6.74	states/eV/f.u.
energy relative to the elements	0.02	eV per atom

---

Entry from Alexandria: Tl3InHg after structural relaxation (PBE).

Cell: 3.4411 7.7972 11.6741 Å, 100.94 98.49 102.75°
Last column: nearest neighbours and their distance in Å.
Positions (direct):
Hg1 0.1367 0.9970 0.7084  4 Tl 3.12-3.30, 2 In 3.26, 2 Hg 3.44
Hg2 0.3712 0.8227 0.3506  4 Tl 3.12-3.30, 2 In 3.26, 2 Hg 3.44
Tl1 0.3811 0.2101 0.9839  1 Hg 3.22, 4 In 3.39-3.50, 5 Tl 3.44-3.59
Tl2 0.8698 0.4097 0.7614  9 Tl 3.44-3.70, 2 In 3.46, 2 Hg 3.51
Tl3 0.6381 0.4101 0.2977  9 Tl 3.44-3.70, 2 In 3.46, 2 Hg 3.51
Tl4 0.3891 0.6423 0.5671  3 Hg 3.12-3.30, 3 Tl 3.44
Tl5 0.1189 0.1775 0.4919  3 Hg 3.12-3.30, 3 Tl 3.44
Tl6 0.1269 0.6097 0.0752  1 Hg 3.22, 4 In 3.39-3.50, 5 Tl 3.44-3.59
In1 0.6275 0.8030 0.8839  2 Hg 3.26, 3 In 3.38-3.44, 7 Tl 3.39-3.58
In2 0.8806 0.0168 0.1752  2 Hg 3.26, 3 In 3.38-3.44, 7 Tl 3.39-3.58

Summary:
crystal system	triclinic
DOS(E_F)	2.06	states/eV/f.u.
energy relative to the elements	0.02	eV per atom
relative energy among the computed polymorphs	0	meV/atom

---

Entry from Alexandria: Tl5InHg4 after structural relaxation (PBE).

Cell: 4.9259 7.1583 9.4782 Å, 114.88 105.06 90.00°
Last column: nearest neighbours and their distance in Å.
Positions (direct):
Hg1 0.0824 0.2910 0.1647  2 In 3.15, 4 Tl 3.41-3.50
Hg2 0.6874 0.1105 0.3748  6 Tl 3.13-3.35, 1 In 3.17
Hg3 0.9176 0.7090 0.8353  2 In 3.15, 4 Tl 3.41-3.50
Hg4 0.3126 0.8895 0.6252  6 Tl 3.13-3.35, 1 In 3.17
Tl1 0.2944 0.4032 0.5887  6 Hg 3.27-3.60, 5 Tl 3.52-3.61
Tl2 0.7056 0.5968 0.4113  6 Hg 3.27-3.60, 5 Tl 3.52-3.61
Tl3 0.1202 0.8142 0.2404  5 Hg 3.13-3.50, 2 Tl 3.41
Tl4 0.8798 0.1858 0.7596  5 Hg 3.13-3.50, 2 Tl 3.41
Tl5 0.5000 0.5000 0.0000  6 Tl 3.41-3.52, 4 Hg 3.54, 2 In 3.58
In1 0.5000 0.0000 0.0000  6 Hg 3.15-3.17

Summary:
crystal system	monoclinic
DOS(E_F)	4.52	states/eV/f.u.
energy relative to the elements	0.00	eV per atom
relative energy among the computed polymorphs	4	meV/atom

---

Entry from Alexandria: Tl2InHg9 after structural relaxation (PBE).

Cell: 5.1626 5.1626 12.5133 Å, 90.00 90.00 90.00°
Last column: nearest neighbours and their distance in Å.
Positions (direct):
Hg1 0.5000 0.0000 0.5000  8 Hg 3.34-3.65, 4 Tl 3.36
Hg2 0.5000 0.5000 0.6689  8 Hg 3.34-3.36, 4 Tl 3.65
Hg3 0.0000 0.5000 0.8402  2 In 3.27, 8 Hg 3.27-3.65, 2 Tl 3.33
Hg4 0.5000 0.0000 0.1598  8 Hg 3.27-3.65, 2 In 3.27, 2 Tl 3.33
Hg5 0.5000 0.5000 0.3311  8 Hg 3.34-3.36, 4 Tl 3.65
Hg6 0.5000 0.5000 0.0000  8 Hg 3.27, 4 In 3.65
Hg7 0.0000 0.5000 0.1598  2 In 3.27, 8 Hg 3.27-3.65, 2 Tl 3.33
Hg8 0.5000 0.0000 0.8402  8 Hg 3.27-3.65, 2 In 3.27, 2 Tl 3.33
Hg9 0.0000 0.5000 0.5000  8 Hg 3.34-3.65, 4 Tl 3.36
Tl1 0.0000 0.0000 0.3278  12 Hg 3.33-3.65
Tl2 0.0000 0.0000 0.6722  12 Hg 3.33-3.65
In1 0.0000 0.0000 0.0000  12 Hg 3.27-3.65

Summary:
crystal system	tetragonal
DOS(E_F)	4.60	states/eV/f.u.
energy relative to the elements	-0.01	eV per atom

---

Entry from Alexandria: Tl2In3Hg5 after structural relaxation (PBE).

Cell: 3.3325 8.5595 10.4148 Å, 96.91 80.79 78.77°
Last column: nearest neighbours and their distance in Å.
Positions (direct):
Hg1 0.0901 0.2203 0.5994  3 In 3.07-3.18, 3 Tl 3.18-3.33, 2 Hg 3.33
Hg2 0.9098 0.7797 0.4006  3 In 3.07-3.18, 3 Tl 3.18-3.33, 2 Hg 3.33
Hg3 0.7034 0.3905 0.2027  4 In 3.05-3.24, 2 Hg 3.33, 2 Tl 3.37
Hg4 0.2966 0.6095 0.7973  4 In 3.05-3.24, 2 Hg 3.33, 2 Tl 3.37
Hg5 0.0000 0.0000 0.0000  2 In 3.05, 2 Hg 3.33
Tl1 0.3141 0.0774 0.2944  7 Hg 3.18-3.43, 2 Tl 3.33
Tl2 0.6859 0.9226 0.7056  7 Hg 3.18-3.43, 2 Tl 3.33
In1 0.5000 0.5000 0.5000  6 Hg 3.05-3.18, 2 In 3.33
In2 0.1108 0.6776 0.1008  5 Hg 3.05-3.24, 2 In 3.33
In3 0.8892 0.3224 0.8992  5 Hg 3.05-3.24, 2 In 3.33

Summary:
crystal system	monoclinic
DOS(E_F)	3.75	states/eV/f.u.
energy relative to the elements	0.01	eV per atom
relative energy among the computed polymorphs	0	meV/atom

---

Entry from Alexandria: Tl2In7Hg after structural relaxation (PBE).

Cell: 7.9867 7.9867 7.9867 Å, 60.00 60.00 60.00°
Last column: nearest neighbours and their distance in Å.
Positions (direct):
In1 0.7524 0.2476 0.7524  1 Hg 2.80, 1 In 2.85
In2 0.2476 0.7524 0.2476  1 Hg 2.80, 1 In 2.85
In3 0.7524 0.7524 0.2476  1 Hg 2.80, 1 In 2.85
In4 0.5000 0.5000 0.5000  6 In 2.85
In5 0.2476 0.2476 0.7524  1 Hg 2.80, 1 In 2.85
In6 0.7524 0.2476 0.2476  1 Hg 2.80, 1 In 2.85
In7 0.2476 0.7524 0.7524  1 Hg 2.80, 1 In 2.85
Hg1 0.0000 0.0000 0.0000  6 In 2.80
Tl1 0.7500 0.7500 0.7500  12 In 3.99
Tl2 0.2500 0.2500 0.2500  12 In 3.99

Summary:
crystal system	cubic
DOS(E_F)	6.94	states/eV/f.u.
energy relative to the elements	0.33	eV per atom

---

Number 6 is which compound? Tl2InHg9

---

What is the formula in the third record? Tl4In5Hg6